Ca2Si2Ni: relaxed, GGA-PBE.

CIF file:
```
data_Ca2Si2Ni
_space_group_name_H-M_alt 'P 1'
_space_group_IT_number 1
_cell_length_a 9.012
_cell_length_b 9.012
_cell_length_c 9.012
_cell_angle_alpha 157.52
_cell_angle_beta 157.52
_cell_angle_gamma 32.00
loop_
_space_group_symop_operation_xyz
'x,y,z'
loop_
_atom_site_label
_atom_site_fract_x
_atom_site_fract_y
_atom_site_fract_z
_atom_site_occupancy
Ca1 0.401 0.401 0.000 1
Ca2 0.599 0.599 0.000 1
Si1 0.250 0.750 0.500 1
Si2 0.750 0.250 0.500 1
Ni1 0.000 0.000 0.000 1
```

Crystal system: tetragonal
Symmetry: I4/mmm, No. 139
Formation energy without anion corrections (eV/atom): -0.007
Calculated volume (Å³/cell): 106.9
D(E_F) (states/eV/cell): 2.63


Ca2Si2Ni3: relaxed, GGA-PBE.

CIF file:
```
data_Ca2Si2Ni3
_space_group_name_H-M_alt 'P 1'
_space_group_IT_number 1
_cell_length_a 3.770
_cell_length_b 5.679
_cell_length_c 6.762
_cell_angle_alpha 116.58
_cell_angle_beta 90.00
_cell_angle_gamma 109.39
loop_
_space_group_symop_operation_xyz
'x,y,z'
loop_
_atom_site_label
_atom_site_fract_x
_atom_site_fract_y
_atom_site_fract_z
_atom_site_occupancy
Ca1 0.867 0.733 0.243 1
Ca2 0.133 0.267 0.757 1
Si1 0.865 0.729 0.779 1
Si2 0.135 0.271 0.221 1
Ni1 0.500 0.000 0.000 1
Ni2 0.658 0.316 0.424 1
Ni3 0.342 0.684 0.576 1
```

Crystal system: monoclinic
Symmetry: C2/m, No. 12
Formation energy without anion corrections (eV/atom): -0.521
Calculated volume (Å³/cell): 120.2
D(E_F) (states/eV/cell): 3.48


Ca3Si3Ni2: relaxed, GGA-PBE.

CIF file:
```
data_Ca3Si3Ni2
_space_group_name_H-M_alt 'P 1'
_space_group_IT_number 1
_cell_length_a 4.106
_cell_length_b 5.762
_cell_length_c 14.162
_cell_angle_alpha 90.00
_cell_angle_beta 90.00
_cell_angle_gamma 110.87
loop_
_space_group_symop_operation_xyz
'x,y,z'
loop_
_atom_site_label
_atom_site_fract_x
_atom_site_fract_y
_atom_site_fract_z
_atom_site_occupancy
Ca1 0.932 0.864 0.391 1
Ca2 0.068 0.136 0.891 1
Ca3 0.932 0.864 0.109 1
Ca4 0.068 0.136 0.609 1
Ca5 0.636 0.272 0.250 1
Ca6 0.364 0.728 0.750 1
Si1 0.662 0.325 0.462 1
Si2 0.338 0.675 0.962 1
Si3 0.662 0.325 0.038 1
Si4 0.338 0.675 0.538 1
Si5 0.332 0.663 0.250 1
Si6 0.668 0.337 0.750 1
Ni1 0.779 0.559 0.898 1
Ni2 0.221 0.441 0.398 1
Ni3 0.779 0.559 0.602 1
Ni4 0.221 0.441 0.102 1
```

Crystal system: orthorhombic
Symmetry: Cmcm, No. 63
Formation energy without anion corrections (eV/atom): -0.516
Calculated volume (Å³/cell): 313.1
D(E_F) (states/eV/cell): 11.28


CaSi4Ni6: relaxed, GGA-PBE.

CIF file:
```
data_CaSi4Ni6
_space_group_name_H-M_alt 'P 1'
_space_group_IT_number 1
_cell_length_a 3.656
_cell_length_b 6.669
_cell_length_c 6.669
_cell_angle_alpha 120.00
_cell_angle_beta 90.00
_cell_angle_gamma 90.00
loop_
_space_group_symop_operation_xyz
'x,y,z'
loop_
_atom_site_label
_atom_site_fract_x
_atom_site_fract_y
_atom_site_fract_z
_atom_site_occupancy
Ca1 0.000 0.000 0.000 1
Si1 0.500 0.805 0.609 1
Si2 0.500 0.391 0.195 1
Si3 0.500 0.805 0.195 1
Si4 0.000 0.333 0.667 1
Ni1 0.000 0.535 0.070 1
Ni2 0.500 0.590 0.795 1
Ni3 0.000 0.535 0.465 1
Ni4 0.000 0.930 0.465 1
Ni5 0.500 0.205 0.795 1
Ni6 0.500 0.205 0.410 1
```

Crystal system: hexagonal
Symmetry: P-6m2, No. 187
Formation energy without anion corrections (eV/atom): -0.597
Calculated volume (Å³/cell): 140.9
D(E_F) (states/eV/cell): 3.79


Ca2Si3Ni2: relaxed, GGA-PBE.

CIF file:
```
data_Ca2Si3Ni2
_space_group_name_H-M_alt 'P 1'
_space_group_IT_number 1
_cell_length_a 3.851
_cell_length_b 5.705
_cell_length_c 6.865
_cell_angle_alpha 120.02
_cell_angle_beta 90.00
_cell_angle_gamma 109.73
loop_
_space_group_symop_operation_xyz
'x,y,z'
loop_
_atom_site_label
_atom_site_fract_x
_atom_site_fract_y
_atom_site_fract_z
_atom_site_occupancy
Ca1 0.863 0.725 0.237 1
Ca2 0.137 0.275 0.763 1
Si1 0.500 0.000 0.000 1
Si2 0.649 0.299 0.439 1
Si3 0.351 0.701 0.561 1
Ni1 0.877 0.753 0.786 1
Ni2 0.123 0.247 0.214 1
```

Crystal system: monoclinic
Symmetry: C2/m, No. 12
Formation energy without anion corrections (eV/atom): -0.511
Calculated volume (Å³/cell): 120.3
D(E_F) (states/eV/cell): 2.92
Energy above the lowest structure with this stoichiometry (meV/atom): 0.0


CaSi3Ni: relaxed, GGA-PBE.

CIF file:
```
data_CaSi3Ni
_space_group_name_H-M_alt 'P 1'
_space_group_IT_number 1
_cell_length_a 5.134
_cell_length_b 5.134
_cell_length_c 5.134
_cell_angle_alpha 90.00
_cell_angle_beta 90.00
_cell_angle_gamma 90.00
loop_
_space_group_symop_operation_xyz
'x,y,z'
loop_
_atom_site_label
_atom_site_fract_x
_atom_site_fract_y
_atom_site_fract_z
_atom_site_occupancy
Ni1 0.500 0.500 0.500 1
Ca1 0.000 0.000 0.000 1
Si1 0.000 0.500 0.000 1
Si2 0.000 0.000 0.500 1
Si3 0.500 0.000 0.000 1
```

Crystal system: cubic
Symmetry: Pm-3m, No. 221
Formation energy without anion corrections (eV/atom): 1.920
Calculated volume (Å³/cell): 135.3
D(E_F) (states/eV/cell): 6.16


Ca2Si2Ni: relaxed, GGA-PBE.

CIF file:
```
data_Ca2Si2Ni
_space_group_name_H-M_alt 'P 1'
_space_group_IT_number 1
_cell_length_a 6.682
_cell_length_b 6.682
_cell_length_c 6.682
_cell_angle_alpha 140.39
_cell_angle_beta 140.39
_cell_angle_gamma 57.26
loop_
_space_group_symop_operation_xyz
'x,y,z'
loop_
_atom_site_label
_atom_site_fract_x
_atom_site_fract_y
_atom_site_fract_z
_atom_site_occupancy
Ca1 0.250 0.750 0.500 1
Ca2 0.750 0.250 0.500 1
Si1 0.408 0.408 0.000 1
Si2 0.592 0.592 0.000 1
Ni1 0.000 0.000 0.000 1
```

Crystal system: tetragonal
Symmetry: I4/mmm, No. 139
Formation energy without anion corrections (eV/atom): 0.463
Calculated volume (Å³/cell): 120.2
D(E_F) (states/eV/cell): 3.08


Ca2Si7Ni12: relaxed, GGA-PBE.

CIF file:
```
data_Ca2Si7Ni12
_space_group_name_H-M_alt 'P 1'
_space_group_IT_number 1
_cell_length_a 3.655
_cell_length_b 9.271
_cell_length_c 9.271
_cell_angle_alpha 120.00
_cell_angle_beta 90.00
_cell_angle_gamma 90.00
loop_
_space_group_symop_operation_xyz
'x,y,z'
loop_
_atom_site_label
_atom_site_fract_x
_atom_site_fract_y
_atom_site_fract_z
_atom_site_occupancy
Ca1 0.500 0.000 0.000 1
Ca2 0.000 0.667 0.333 1
Si1 0.000 0.333 0.667 1
Si2 0.000 0.055 0.783 1
Si3 0.000 0.728 0.945 1
Si4 0.000 0.217 0.272 1
Si5 0.500 0.632 0.563 1
Si6 0.500 0.931 0.368 1
Si7 0.500 0.437 0.069 1
Ni1 0.500 0.908 0.615 1
Ni2 0.500 0.708 0.092 1
Ni3 0.500 0.385 0.292 1
Ni4 0.500 0.240 0.782 1
Ni5 0.500 0.542 0.760 1
Ni6 0.500 0.218 0.458 1
Ni7 0.000 0.056 0.538 1
Ni8 0.000 0.482 0.944 1
Ni9 0.000 0.462 0.518 1
Ni10 0.000 0.776 0.721 1
Ni11 0.000 0.945 0.224 1
Ni12 0.000 0.279 0.055 1
```

Crystal system: hexagonal
Symmetry: P-6, No. 174
Formation energy without anion corrections (eV/atom): -0.581
Calculated volume (Å³/cell): 272.1
D(E_F) (states/eV/cell): 13.29


CaSiNi: relaxed, GGA-PBE.

CIF file:
```
data_CaSiNi
_space_group_name_H-M_alt 'P 1'
_space_group_IT_number 1
_cell_length_a 5.369
_cell_length_b 4.078
_cell_length_c 11.052
_cell_angle_alpha 90.00
_cell_angle_beta 104.23
_cell_angle_gamma 90.00
loop_
_space_group_symop_operation_xyz
'x,y,z'
loop_
_atom_site_label
_atom_site_fract_x
_atom_site_fract_y
_atom_site_fract_z
_atom_site_occupancy
Ca1 0.310 0.000 0.108 1
Ca2 0.690 0.000 0.892 1
Ca3 0.310 0.500 0.608 1
Ca4 0.690 0.500 0.392 1
Si1 0.806 0.000 0.617 1
Si2 0.194 0.000 0.383 1
Si3 0.806 0.500 0.117 1
Si4 0.194 0.500 0.883 1
Ni1 0.131 0.000 0.800 1
Ni2 0.869 0.000 0.200 1
Ni3 0.131 0.500 0.300 1
Ni4 0.869 0.500 0.700 1
```

Crystal system: monoclinic
Symmetry: C2/m, No. 12
Formation energy without anion corrections (eV/atom): -0.538
Calculated volume (Å³/cell): 234.6
D(E_F) (states/eV/cell): 5.64


Ca2Si2Ni: relaxed, GGA-PBE.

CIF file:
```
data_Ca2Si2Ni
_space_group_name_H-M_alt 'P 1'
_space_group_IT_number 1
_cell_length_a 5.472
_cell_length_b 5.472
_cell_length_c 7.672
_cell_angle_alpha 81.45
_cell_angle_beta 81.45
_cell_angle_gamma 63.13
loop_
_space_group_symop_operation_xyz
'x,y,z'
loop_
_atom_site_label
_atom_site_fract_x
_atom_site_fract_y
_atom_site_fract_z
_atom_site_occupancy
Ca1 0.466 0.226 0.158 1
Ca2 0.774 0.534 0.342 1
Ca3 0.534 0.774 0.842 1
Ca4 0.226 0.466 0.658 1
Si1 0.756 0.006 0.506 1
Si2 0.994 0.244 0.994 1
Si3 0.244 0.994 0.494 1
Si4 0.006 0.756 0.006 1
Ni1 0.074 0.926 0.250 1
Ni2 0.926 0.074 0.750 1
```

Crystal system: monoclinic
Symmetry: C2/c, No. 15
Formation energy without anion corrections (eV/atom): -0.479
Calculated volume (Å³/cell): 201.8
D(E_F) (states/eV/cell): 5.28